No. 1
Density functional theory data (PBE) for a relaxed TmSnTe4 crystal.

a b c (Å): 6.7530 6.7530 10.1175
angles (deg): 90.00 90.00 105.50
Sites, in units of the cell vectors:
Tm1 0.3843 0.3843 0.7500
Tm2 0.6157 0.6157 0.2500
Sn1 0.9375 0.9375 0.7500
Sn2 0.0625 0.0625 0.2500
Te1 0.6568 0.0802 0.2500
Te2 0.3432 0.9198 0.7500
Te3 0.0802 0.6568 0.2500
Te4 0.9198 0.3432 0.7500
Te5 0.6801 0.6801 0.5571
Te6 0.3199 0.3199 0.0571
Te7 0.6801 0.6801 0.9429
Te8 0.3199 0.3199 0.4429

Results
For the formation energy from raw total energies, the calculation gives -437 meV/atom. Its symmetry is Cmcm (63). The total magnetization comes out at 0.0 μB/f.u. The crystal system is orthorhombic.

***

No. 2
Density functional theory data (PBE) for a relaxed Tm4SnTe2 crystal.

a b c (Å): 8.1032 8.1032 8.1357
angles (deg): 108.79 108.79 110.69
Sites, in units of the cell vectors:
Tm1 0.9474 0.2566 0.3115
Tm2 0.3025 0.4935 0.1883
Tm3 0.9451 0.6359 0.6885
Tm4 0.7433 0.0525 0.6884
Tm5 0.3641 0.0549 0.3115
Tm6 0.3051 0.1142 0.8117
Tm7 0.5067 0.6976 0.8117
Tm8 0.8859 0.6949 0.1883
Sn1 0.2499 0.7499 0.5000
Sn2 0.0001 0.0001 0.0000
Te1 0.6249 0.3750 0.7499
Te2 0.6251 0.8750 0.2501
Te3 0.6250 0.3751 0.2501
Te4 0.1250 0.3749 0.7499

Results
For the formation energy from raw total energies, the calculation gives -804 meV/atom. Its symmetry is Fddd (70). The total magnetization comes out at 0.0 μB/f.u. The crystal system is orthorhombic.